<P>
This record from Alexandria via LeMat-Bulk describes crystalline NpTa2Nb at its relaxed geometry. The functional is PBE-GGA.

abc: 4.8722 4.8722 3.2292
angles: 90.00 90.00 90.00
Fractional positions:
Np 0.0000 0.0000 0.0000
Ta 0.0000 0.5000 0.5000
Ta 0.5000 0.0000 0.5000
Nb 0.5000 0.5000 0.0000

Summary:
**Space group**: P4/mmm, No. 123
**D(E_F)**: 7.204 states/eV/f.u.
**Crystal system**: tetragonal
**Volume**: 19.16 A^3/atom

=====

<Q>
This record from Alexandria via LeMat-Bulk describes crystalline NpTa2Nb at its relaxed geometry. The functional is PBE-GGA.

abc: 10.8771 10.8771 10.8771
angles: 15.24 15.24 15.24
Fractional positions:
Np 0.0000 0.0000 0.0000
Ta 0.2468 0.2468 0.2468
Ta 0.7532 0.7532 0.7532
Nb 0.5000 0.5000 0.5000

Summary:
**Space group**: R-3m, No. 166
**D(E_F)**: 6.858 states/eV/f.u.
**Crystal system**: trigonal
**Volume**: 19.37 A^3/atom

=====

Ranking the structures above from most stable to least stable yields <P>, <Q>.